This record from Alexandria via LeMat-Bulk describes CaNb2Zn2 after structural relaxation. The functional is PBE.

Computed properties:
- VASP energy (eV per atom) = -4.79
- E_form (eV per atom) = 0.15
- mass density (Mg/m³) = 6.1

abc: 8.166 8.166 2.934
angles: 90.00 90.00 90.00
Space group P4/mbm (No. 127)
Asymmetric unit:
Ca1 0.000 0.000 0.000 (multiplicity 2)
Nb1 0.111 0.389 0.000 (multiplicity 4)
Zn1 0.182 0.682 0.500 (multiplicity 4)